Here is a geometry-optimized BaMgSc2Fe structure from Alexandria via LeMat-Bulk. Energies are from PBE.

Results
Size of the total moment ... 0.0 μB per cell
ΔE_f ... 0.082 eV per atom
Space-group type ... P4/mmm

```
BaMgSc2Fe
1.0
4.9269 0.0000 0.0000
0.0000 4.9269 0.0000
0.0000 0.0000 5.3657
Ba Mg Sc Fe
1 1 2 1
Direct
0.0000 0.0000 0.0000 Ba
0.5000 0.5000 0.0000 Mg
0.0000 0.5000 0.5000 Sc
0.5000 0.0000 0.5000 Sc
0.5000 0.5000 0.5000 Fe
```

Here is a geometry-optimized Ba2MgFeTc structure from Alexandria via LeMat-Bulk. Energies are from PBE.

Results
Size of the total moment ... 2.7 μB per cell
ΔE_f ... 0.697 eV per atom
Space-group type ... P4/mmm

```
Ba2MgFeTc
1.0
6.2087 0.0000 0.0000
0.0000 6.2087 0.0000
0.0000 0.0000 4.4012
Ba Mg Fe Tc
2 1 1 1
Direct
0.0000 0.5000 0.0000 Ba
0.5000 0.0000 0.0000 Ba
0.0000 0.0000 0.5000 Mg
0.5000 0.5000 0.0000 Fe
0.5000 0.5000 0.5000 Tc
```

Here is a geometry-optimized BaMn2Fe structure from Alexandria via LeMat-Bulk. Energies are from PBE.

Results
Size of the total moment ... 10.0 μB per cell
ΔE_f ... 1.005 eV per atom
ΔE to the lowest computed polymorph ... 2.16 eV/f.u.
Space-group type ... I4/mmm

```
BaMn2Fe
1.0
-2.1762 2.1762 4.2535
2.1762 -2.1762 4.2535
2.1762 2.1762 -4.2535
Ba Mn Fe
1 2 1
Direct
0.0000 0.0000 0.0000 Ba
0.2500 0.7500 0.5000 Mn
0.7500 0.2500 0.5000 Mn
0.5000 0.5000 0.0000 Fe
```

Calculated values (states/eV/cell) of D(E_F) for the records, taken in order: 3.13, 5.52, 3.27.